The following is a DFT calculation (GGA-PBE) of AcCeNdPu after structural relaxation.

The structure in CIF format:
```
data_AcCeNdPu
_cell_length_a 5.7816
_cell_length_b 5.7816
_cell_length_c 5.7816
_cell_angle_alpha 60.00
_cell_angle_beta 60.00
_cell_angle_gamma 60.00
_symmetry_space_group_name_H-M 'P 1'
_symmetry_Int_Tables_number 1
loop_
_symmetry_equiv_pos_as_xyz
'x,y,z'
loop_
_atom_site_label
_atom_site_type_symbol
_atom_site_fract_x
_atom_site_fract_y
_atom_site_fract_z
Ac1 Ac 0.0000 0.0000 0.0000
Ce1 Ce 0.2500 0.2500 0.2500
Nd1 Nd 0.7500 0.7500 0.7500
Pu1 Pu 0.5000 0.5000 0.5000
```

Calculated values
Magnetic moment in μB/cell: 8.6
Uncorrected energy in eV per atom: -7.00
Energy of formation in meV/atom: 281
Density of states at the Fermi level in states/eV/f.u.: 14.47
Symmetry: F-43m, No. 216



The following is a DFT calculation (GGA-PBE) of Ac2CeNdRh2 after structural relaxation.

The structure in CIF format:
```
data_Ac2CeNdRh2
_cell_length_a 8.6274
_cell_length_b 8.6274
_cell_length_c 8.6274
_cell_angle_alpha 130.31
_cell_angle_beta 72.15
_cell_angle_gamma 131.26
_symmetry_space_group_name_H-M 'P 1'
_symmetry_Int_Tables_number 1
loop_
_symmetry_equiv_pos_as_xyz
'x,y,z'
loop_
_atom_site_label
_atom_site_type_symbol
_atom_site_fract_x
_atom_site_fract_y
_atom_site_fract_z
Ac1 Ac 0.1953 0.2102 0.4055
Ac2 Ac 0.3047 0.7102 0.0150
Ac3 Ac 0.6953 0.2898 0.9850
Ac4 Ac 0.8047 0.7898 0.5945
Ce1 Ce 0.2500 0.2500 0.0000
Ce2 Ce 0.7500 0.7500 0.0000
Nd1 Nd 0.2500 0.7500 0.5000
Nd2 Nd 0.7500 0.2500 0.5000
Rh1 Rh 0.0955 0.7777 0.8733
Rh2 Rh 0.4045 0.2777 0.6822
Rh3 Rh 0.5955 0.7223 0.3178
Rh4 Rh 0.9045 0.2223 0.1267
```

Calculated values
Magnetic moment in μB/cell: 0.3
Uncorrected energy in eV per atom: -6.09
Energy of formation in meV/atom: -483
Density of states at the Fermi level in states/eV/f.u.: 7.67
Symmetry: Ibam, No. 72



The following is a DFT calculation (GGA-PBE) of Ac3CeNd2S6 after structural relaxation.

The structure in CIF format:
```
data_Ac3CeNd2S6
_cell_length_a 7.2278
_cell_length_b 7.2278
_cell_length_c 7.2781
_cell_angle_alpha 99.57
_cell_angle_beta 99.57
_cell_angle_gamma 120.06
_symmetry_space_group_name_H-M 'P 1'
_symmetry_Int_Tables_number 1
loop_
_symmetry_equiv_pos_as_xyz
'x,y,z'
loop_
_atom_site_label
_atom_site_type_symbol
_atom_site_fract_x
_atom_site_fract_y
_atom_site_fract_z
Ac1 Ac 0.0000 0.0000 0.0000
Ac2 Ac 0.3322 0.6678 0.0000
Ac3 Ac 0.6678 0.3322 0.0000
Ce1 Ce 0.5000 0.5000 0.5000
Nd1 Nd 0.1667 0.8333 0.5000
Nd2 Nd 0.8333 0.1667 0.5000
S1 S 0.0912 0.4224 0.2669
S2 S 0.2469 0.2469 0.7347
S3 S 0.4224 0.0912 0.2669
S4 S 0.5776 0.9088 0.7331
S5 S 0.7531 0.7531 0.2653
S6 S 0.9088 0.5776 0.7331
```

Calculated values
Magnetic moment in μB/cell: 0.8
Uncorrected energy in eV per atom: -6.39
Density of states at the Fermi level in states/eV/f.u.: 9.98
Formation energy without anion corrections in eV/atom: -2.011
Symmetry: C2/m, No. 12



The following is a DFT calculation (GGA-PBE) of Ac2CeNdS4 after structural relaxation.

The structure in CIF format:
```
data_Ac2CeNdS4
_cell_length_a 7.2273
_cell_length_b 4.1585
_cell_length_c 7.2787
_cell_angle_alpha 90.00
_cell_angle_beta 109.26
_cell_angle_gamma 90.00
_symmetry_space_group_name_H-M 'P 1'
_symmetry_Int_Tables_number 1
loop_
_symmetry_equiv_pos_as_xyz
'x,y,z'
loop_
_atom_site_label
_atom_site_type_symbol
_atom_site_fract_x
_atom_site_fract_y
_atom_site_fract_z
Ac1 Ac 0.0000 0.0000 0.0000
Ac2 Ac 0.5000 0.5000 0.0000
Ce1 Ce 0.0000 0.5000 0.5000
Nd1 Nd 0.5000 0.0000 0.5000
S1 S 0.2428 0.0000 0.7326
S2 S 0.2540 0.5000 0.2664
S3 S 0.7460 0.5000 0.7336
S4 S 0.7572 0.0000 0.2674
```

Calculated values
Magnetic moment in μB/cell: 0.9
Uncorrected energy in eV per atom: -6.44
Density of states at the Fermi level in states/eV/f.u.: 8.02
Formation energy without anion corrections in eV/atom: -2.010
Symmetry: P2/m, No. 10



The following is a DFT calculation (GGA-PBE) of Ac4CeNd3S8 after structural relaxation.

The structure in CIF format:
```
data_Ac4CeNd3S8
_cell_length_a 8.3874
_cell_length_b 8.3874
_cell_length_c 8.3874
_cell_angle_alpha 59.69
_cell_angle_beta 59.69
_cell_angle_gamma 59.69
_symmetry_space_group_name_H-M 'P 1'
_symmetry_Int_Tables_number 1
loop_
_symmetry_equiv_pos_as_xyz
'x,y,z'
loop_
_atom_site_label
_atom_site_type_symbol
_atom_site_fract_x
_atom_site_fract_y
_atom_site_fract_z
Ac1 Ac 0.0000 0.0000 0.0000
Ac2 Ac 0.0000 0.5000 0.5000
Ac3 Ac 0.5000 0.0000 0.5000
Ac4 Ac 0.5000 0.5000 0.0000
Ce1 Ce 0.5000 0.5000 0.5000
Nd1 Nd 0.0000 0.0000 0.5000
Nd2 Nd 0.0000 0.5000 0.0000
Nd3 Nd 0.5000 0.0000 0.0000
S1 S 0.2450 0.2450 0.2450
S2 S 0.2463 0.7435 0.7435
S3 S 0.2565 0.2565 0.7537
S4 S 0.2565 0.7537 0.2565
S5 S 0.7435 0.2463 0.7435
S6 S 0.7435 0.7435 0.2463
S7 S 0.7537 0.2565 0.2565
S8 S 0.7550 0.7550 0.7550
```

Calculated values
Magnetic moment in μB/cell: 0.9
Uncorrected energy in eV per atom: -6.37
Density of states at the Fermi level in states/eV/f.u.: 11.33
Formation energy without anion corrections in eV/atom: -2.011
Symmetry: R-3m, No. 166



The following is a DFT calculation (GGA-PBE) of Ac4Ce3NdS8 after structural relaxation.

The structure in CIF format:
```
data_Ac4Ce3NdS8
_cell_length_a 8.3744
_cell_length_b 8.3744
_cell_length_c 8.3744
_cell_angle_alpha 59.65
_cell_angle_beta 59.65
_cell_angle_gamma 59.65
_symmetry_space_group_name_H-M 'P 1'
_symmetry_Int_Tables_number 1
loop_
_symmetry_equiv_pos_as_xyz
'x,y,z'
loop_
_atom_site_label
_atom_site_type_symbol
_atom_site_fract_x
_atom_site_fract_y
_atom_site_fract_z
Ac1 Ac 0.0000 0.0000 0.0000
Ac2 Ac 0.0000 0.5000 0.5000
Ac3 Ac 0.5000 0.0000 0.5000
Ac4 Ac 0.5000 0.5000 0.0000
Ce1 Ce 0.0000 0.0000 0.5000
Ce2 Ce 0.0000 0.5000 0.0000
Ce3 Ce 0.5000 0.0000 0.0000
Nd1 Nd 0.5000 0.5000 0.5000
S1 S 0.2428 0.7449 0.7449
S2 S 0.2440 0.2440 0.2440
S3 S 0.2551 0.2551 0.7572
S4 S 0.2551 0.7572 0.2551
S5 S 0.7449 0.2428 0.7449
S6 S 0.7449 0.7449 0.2428
S7 S 0.7560 0.7560 0.7560
S8 S 0.7572 0.2551 0.2551
```

Calculated values
Magnetic moment in μB/cell: 2.6
Uncorrected energy in eV per atom: -6.51
Density of states at the Fermi level in states/eV/f.u.: 19.89
Formation energy without anion corrections in eV/atom: -2.008
Symmetry: R-3m, No. 166



The following is a DFT calculation (GGA-PBE) of Ac3CeNd3S8 after structural relaxation.

The structure in CIF format:
```
data_Ac3CeNd3S8
_cell_length_a 8.4212
_cell_length_b 8.4212
_cell_length_c 8.4212
_cell_angle_alpha 58.84
_cell_angle_beta 58.84
_cell_angle_gamma 58.84
_symmetry_space_group_name_H-M 'P 1'
_symmetry_Int_Tables_number 1
loop_
_symmetry_equiv_pos_as_xyz
'x,y,z'
loop_
_atom_site_label
_atom_site_type_symbol
_atom_site_fract_x
_atom_site_fract_y
_atom_site_fract_z
Ac1 Ac 0.0000 0.5000 0.5000
Ac2 Ac 0.5000 0.0000 0.5000
Ac3 Ac 0.5000 0.5000 0.0000
Ce1 Ce 0.5000 0.5000 0.5000
Nd1 Nd 0.0000 0.0000 0.5000
Nd2 Nd 0.0000 0.5000 0.0000
Nd3 Nd 0.5000 0.0000 0.0000
S1 S 0.2451 0.2451 0.2451
S2 S 0.2462 0.7440 0.7440
S3 S 0.2560 0.2560 0.7538
S4 S 0.2560 0.7538 0.2560
S5 S 0.7440 0.2462 0.7440
S6 S 0.7440 0.7440 0.2462
S7 S 0.7538 0.2560 0.2560
S8 S 0.7549 0.7549 0.7549
```

Calculated values
Magnetic moment in μB/cell: 1.6
Uncorrected energy in eV per atom: -6.39
Density of states at the Fermi level in states/eV/f.u.: 12.51
Formation energy without anion corrections in eV/atom: -2.020
Symmetry: R-3m, No. 166



The following is a DFT calculation (GGA-PBE) of Ac2Ce3NdSb6 after structural relaxation.

The structure in CIF format:
```
data_Ac2Ce3NdSb6
_cell_length_a 7.9838
_cell_length_b 7.9838
_cell_length_c 7.9859
_cell_angle_alpha 99.61
_cell_angle_beta 99.61
_cell_angle_gamma 119.99
_symmetry_space_group_name_H-M 'P 1'
_symmetry_Int_Tables_number 1
loop_
_symmetry_equiv_pos_as_xyz
'x,y,z'
loop_
_atom_site_label
_atom_site_type_symbol
_atom_site_fract_x
_atom_site_fract_y
_atom_site_fract_z
Ac1 Ac 0.1658 0.8342 0.0000
Ac2 Ac 0.8342 0.1658 0.0000
Ce1 Ce 0.0000 0.0000 0.5000
Ce2 Ce 0.3308 0.6692 0.5000
Ce3 Ce 0.6692 0.3308 0.5000
Nd1 Nd 0.5000 0.5000 0.0000
Sb1 Sb 0.0877 0.4130 0.7379
Sb2 Sb 0.2637 0.2637 0.2649
Sb3 Sb 0.4130 0.0877 0.7379
Sb4 Sb 0.5870 0.9123 0.2621
Sb5 Sb 0.7363 0.7363 0.7351
Sb6 Sb 0.9123 0.5870 0.2621
```

Calculated values
Magnetic moment in μB/cell: 2.4
Uncorrected energy in eV per atom: -5.74
Density of states at the Fermi level in states/eV/f.u.: 19.26
Formation energy without anion corrections in eV/atom: -1.112
Symmetry: C2/m, No. 12



The following is a DFT calculation (GGA-PBE) of AcCeNd2Sb4 after structural relaxation.

The structure in CIF format:
```
data_AcCeNd2Sb4
_cell_length_a 7.9561
_cell_length_b 4.5938
_cell_length_c 7.9572
_cell_angle_alpha 90.00
_cell_angle_beta 109.42
_cell_angle_gamma 90.00
_symmetry_space_group_name_H-M 'P 1'
_symmetry_Int_Tables_number 1
loop_
_symmetry_equiv_pos_as_xyz
'x,y,z'
loop_
_atom_site_label
_atom_site_type_symbol
_atom_site_fract_x
_atom_site_fract_y
_atom_site_fract_z
Ac1 Ac 0.0000 0.0000 0.0000
Ce1 Ce 0.0000 0.5000 0.5000
Nd1 Nd 0.5000 0.0000 0.5000
Nd2 Nd 0.5000 0.5000 0.0000
Sb1 Sb 0.2530 0.0000 0.7432
Sb2 Sb 0.2585 0.5000 0.2611
Sb3 Sb 0.7415 0.5000 0.7389
Sb4 Sb 0.7470 0.0000 0.2568
```

Calculated values
Magnetic moment in μB/cell: 0.8
Uncorrected energy in eV per atom: -5.65
Density of states at the Fermi level in states/eV/f.u.: 6.97
Formation energy without anion corrections in eV/atom: -1.145
Symmetry: P2/m, No. 10



The following is a DFT calculation (GGA-PBE) of AcCeNdSe3 after structural relaxation.

The structure in CIF format:
```
data_AcCeNdSe3
_cell_length_a 8.3767
_cell_length_b 4.2680
_cell_length_c 10.6371
_cell_angle_alpha 90.00
_cell_angle_beta 105.01
_cell_angle_gamma 90.00
_symmetry_space_group_name_H-M 'P 1'
_symmetry_Int_Tables_number 1
loop_
_symmetry_equiv_pos_as_xyz
'x,y,z'
loop_
_atom_site_label
_atom_site_type_symbol
_atom_site_fract_x
_atom_site_fract_y
_atom_site_fract_z
Ac1 Ac 0.1904 0.2500 0.2093
Ac2 Ac 0.8096 0.7500 0.7907
Ce1 Ce 0.1651 0.2500 0.6184
Ce2 Ce 0.8349 0.7500 0.3816
Nd1 Nd 0.3405 0.7500 0.8996
Nd2 Nd 0.6595 0.2500 0.1004
Se1 Se 0.0928 0.2500 0.8898
Se2 Se 0.2091 0.7500 0.4382
Se3 Se 0.4709 0.7500 0.1942
Se4 Se 0.5291 0.2500 0.8058
Se5 Se 0.7909 0.2500 0.5618
Se6 Se 0.9072 0.7500 0.1102
```

Calculated values
Magnetic moment in μB/cell: 4.2
Uncorrected energy in eV per atom: -5.86
Density of states at the Fermi level in states/eV/f.u.: 7.41
Formation energy without anion corrections in eV/atom: -1.644
Symmetry: P2_1/m, No. 11



The lowest density of states at the Fermi level belongs to which entry? AcCeNd2Sb4